The following is a PBE-GGA calculation of LaFeMo2 after structural relaxation, from Alexandria.

Computed properties:
- Density of states at the Fermi level: 11.71 states/eV/cell
- Offset from the most stable computed form: 77 meV per atom
- Energy of formation from the pure elements: 0.53 eV/atom

a b c (Å): 3.9975 4.0103 8.7721
angles (deg): 90.00 90.00 90.00
Closest atoms and distances in Å follow each position.
Space group Cmmm (No. 65)
One atom of each set of equivalent atoms:
La 0.0000 0.0000 0.0000  4 La 2.83
Fe 0.0000 0.0000 0.5000  8 Mo 2.59-2.60, 4 Fe 2.83
Mo 0.0000 0.5000 0.3115  4 Fe 2.59-2.60, 4 Mo 2.83